1.
3
Lattice="0.000 3.235 3.235 3.235 0.000 3.235 3.235 3.235 0.000" Properties=species:S:1:pos:R:3 comment="CaPW | Alexandria | SCAN | single point on PBEsol structure" sg="F-43m (216)" energy_ha_per_atom=-1.040 pbc="T T T"
Ca 0.000 0.000 0.000
P 4.852 4.852 4.852
W 1.617 1.617 1.617

=====

2.
5
Lattice="4.523 0.000 0.000 0.000 4.523 0.000 0.000 0.000 4.523" Properties=species:S:1:pos:R:3 comment="HfCu3Pt | Alexandria | SCAN | single point on PBEsol structure" sg="Pm-3m (221)" energy_ha_per_atom=-1.281 pbc="T T T"
Hf 0.000 0.000 0.000
Cu 0.000 2.262 2.262
Cu 2.262 0.000 2.262
Cu 2.262 2.262 0.000
Pt 2.262 2.262 2.262

=====

3.
4
Lattice="-1.977 2.244 4.446 1.977 -2.244 4.446 1.977 2.244 -4.446" Properties=species:S:1:pos:R:3 comment="YCd2Re | Alexandria | SCAN | single point on PBEsol structure" sg="Imm2 (44)" energy_ha_per_atom=-1.455 pbc="T T T"
Y 0.000 0.000 0.000
Cd 1.977 0.000 2.301
Cd 0.000 0.000 4.460
Re 0.000 2.244 2.184

=====

Please write out number 1 again, unchanged.
3
Lattice="0.000 3.235 3.235 3.235 0.000 3.235 3.235 3.235 0.000" Properties=species:S:1:pos:R:3 comment="CaPW | Alexandria | SCAN | single point on PBEsol structure" sg="F-43m (216)" energy_ha_per_atom=-1.040 pbc="T T T"
Ca 0.000 0.000 0.000
P 4.852 4.852 4.852
W 1.617 1.617 1.617